Here is a relaxed structure of Na2TePtC from Alexandria via LeMat-Bulk. Energies are from GGA-PBE.

- Total magnetic moment: 2.1 μB per cell
- E_form (uncorrected): 1028.9 meV/atom
- Uncorrected energy: -3.180 eV/atom
- SG: P4/mmm

Cell: 5.6677 4.8894 5.6677 Å, 90.00 90.00 90.00°
Each line ends with the local moment (μB).
Fractional coordinates of all 5 atoms:
1 Pt 0.0000 0.0000 0.0000  -0.10
2 C 0.5000 0.5000 0.5000  1.05
3 Na 0.0000 0.0000 0.5000  0.00
4 Na 0.5000 0.0000 0.0000  0.00
5 Te 0.0000 0.5000 0.0000  -0.12